[1]
The following is a DFT calculation (PBE-GGA) of a relaxed structure of RbCrIrS2.

## Properties
Its energy relative to the elements, uncorrected is 10.959 eV per formula unit.

```
RbCrIrS2
1.0
5.5448 0.0000 0.0000
0.0000 5.0094 0.0000
0.0000 0.0000 5.5448
Ir Cr S Rb
1 1 2 1
Direct
0.0000 0.5000 0.0000
0.5000 0.5000 0.5000
0.5000 0.0000 0.0000
0.0000 0.0000 0.5000
0.0000 0.0000 0.0000
```


[2]
The following is a DFT calculation (PBE-GGA) of a relaxed structure of HoPuMgCd.

## Properties
The formation energy is 0.00 eV per formula unit.

```
HoPuMgCd
1.0
5.3206 0.0000 0.0000
2.6603 4.6078 0.0000
2.6603 1.5359 4.3443
Pu Ho Cd Mg
1 1 1 1
Direct
0.0000 0.0000 0.0000
0.5000 0.5000 0.5000
0.7500 0.7500 0.7500
0.2500 0.2500 0.2500
```


[3]
The following is a DFT calculation (PBE-GGA) of a relaxed structure of ThTe2H2.

```
ThTe2H2
1.0
4.8143 0.0000 1.8310
-0.5882 3.5336 1.5467
0.5075 -0.3483 5.9104
H Th Te
2 1 2
Direct
0.7798 0.5000 0.0000
0.2202 0.5000 0.0000
0.0000 0.0000 0.0000
0.2697 0.7697 0.4605
0.7303 0.2303 0.5395
```


[4]
The following is a DFT calculation (PBE-GGA) of a relaxed structure of NaLi.

## Properties
The formation energy is 0.24 eV per formula unit. The calculation puts the distance to the lowest polymorph of the same formula at 78 meV per atom.

```
NaLi
1.0
-2.5247 9.7969 5.2854
-5.4930 -9.5953 2.8365
2.2210 -0.6188 2.2078
Li Na
6 6
Direct
0.5429 0.3849 0.2500
0.3849 0.8420 0.7500
0.8420 0.4571 0.2500
0.6151 0.1580 0.2500
0.4571 0.6151 0.7500
0.1580 0.5429 0.7500
0.3066 0.0616 0.2500
0.6934 0.9384 0.7500
0.9384 0.2450 0.2500
0.7550 0.6934 0.2500
0.0616 0.7550 0.7500
0.2450 0.3066 0.7500
```


[5]
The following is a DFT calculation (PBE-GGA) of a relaxed structure of PrCu9Au2.

## Properties
The formation energy is -1.43 eV per formula unit.

```
PrCu9Au2
1.0
5.0593 0.0000 0.0000
2.5297 4.3815 0.0000
2.5297 1.4605 7.9552
Cu Pr Au
9 1 2
Direct
0.6663 0.6663 0.0011
0.4119 0.9185 0.2577
0.5881 0.0815 0.7423
0.0815 0.5881 0.7423
0.5881 0.5881 0.7423
0.3337 0.3337 0.9989
0.9185 0.4119 0.2577
0.5000 0.5000 0.5000
0.4119 0.4119 0.2577
0.0000 0.0000 0.0000
0.8575 0.8575 0.4276
0.1425 0.1425 0.5724
```


[6]
The following is a DFT calculation (PBE-GGA) of a relaxed structure of KZn2Sn.

## Properties
The formation energy is -0.18 eV per formula unit.

```
KZn2Sn
1.0
4.4385 -0.0042 0.0000
-2.2192 7.0356 0.0000
0.0000 0.0000 7.4472
Zn Sn K
4 2 2
Direct
0.7616 0.5234 0.5864
0.2384 0.4766 0.4136
0.2384 0.4766 0.0864
0.7616 0.5234 0.9136
0.8506 0.7001 0.2500
0.1494 0.2999 0.7500
0.5621 0.1237 0.2500
0.4379 0.8763 0.7500
```


[7]
The following is a DFT calculation (PBE-GGA) of a relaxed structure of LaPr4Y3.

## Properties
The formation energy is 0.22 eV per formula unit. The calculation puts the distance to the lowest polymorph of the same formula at 9 meV per atom.

```
LaPr4Y3
1.0
6.4107 0.0000 0.0000
0.0000 7.4300 0.0000
0.0000 0.0000 11.8163
La Pr Y
2 8 6
Direct
0.9854 0.3722 0.0000
0.4854 0.6278 0.5000
0.6470 0.8755 0.7539
0.6470 0.8755 0.2461
0.1470 0.1245 0.7461
0.1470 0.1245 0.2539
0.4736 0.1272 0.0000
0.9847 0.8706 0.0000
0.9736 0.8728 0.5000
0.4847 0.1294 0.5000
0.1475 0.6215 0.7495
0.1475 0.6215 0.2505
0.6475 0.3785 0.7505
0.6475 0.3785 0.2495
0.9828 0.3765 0.5000
0.4828 0.6235 0.0000
```


[8]
The following is a DFT calculation (PBE-GGA) of a relaxed structure of ZrUN3.

## Properties
Its energy relative to the elements, uncorrected is -5.603 eV per formula unit.

```
ZrUN3
1.0
-1.9587 3.1606 -4.0693
-2.4925 -2.3193 -4.3352
-6.2005 0.6171 -0.2697
N Zr U
6 2 2
Direct
0.9548 0.5491 0.2507
0.4509 0.0452 0.7493
0.5491 0.2453 0.2507
0.2453 0.9548 0.2507
0.7547 0.4509 0.7493
0.0452 0.7547 0.7493
0.8542 0.8542 0.4375
0.1458 0.1458 0.5625
0.6492 0.6492 0.0523
0.3508 0.3508 0.9477
```


[9]
The following is a DFT calculation (PBE-GGA) of a relaxed structure of YAlCd.

## Properties
The formation energy is -0.83 eV per formula unit.

```
YAlCd
1.0
4.3768 0.0000 0.0000
0.0000 4.3768 0.0000
0.0000 0.0000 7.4484
Cd Y Al
2 2 2
Direct
0.5000 0.0000 0.2546
0.0000 0.5000 0.7454
0.5000 0.0000 0.8246
0.0000 0.5000 0.1754
0.0000 0.0000 0.5000
0.5000 0.5000 0.5000
```


[10]
The following is a DFT calculation (PBE-GGA) of a relaxed structure of Ba2AgAs.

## Properties
The formation energy is -2.76 eV per formula unit.

```
Ba2AgAs
1.0
-0.3966 2.7212 -3.9135
1.4235 -1.6903 -4.2420
-7.2519 -2.6898 -4.0608
As Ag Ba
1 1 2
Direct
0.6657 0.6657 0.0030
0.5015 0.5015 0.4953
0.2628 0.2628 0.2115
0.0699 0.0699 0.7902
```


[11]
The following is a DFT calculation (PBE-GGA) of a relaxed structure of Sr2LiPt.

## Properties
The formation energy is -2.05 eV per formula unit. The calculation puts the distance to the lowest polymorph of the same formula at 0 meV per atom.

```
Sr2LiPt
1.0
-1.1798 -3.1965 -2.8209
2.5888 -0.9721 -3.4494
4.2721 -6.5944 2.2175
Sr Li Pt
2 1 1
Direct
0.7170 0.4797 0.0863
0.8877 0.6517 0.5729
0.1360 0.8984 0.8297
0.4696 0.2323 0.8285
```


[12]
The following is a DFT calculation (PBE-GGA) of a relaxed structure of AcGdRh2.

## Properties
The formation energy is -2.47 eV per formula unit. The calculation puts the distance to the lowest polymorph of the same formula at 12 meV per atom.

```
AcGdRh2
1.0
-3.3806 1.0892 -3.6300
0.4533 -2.0959 -4.6037
-3.3191 -3.5303 -1.5209
Rh Gd Ac
2 1 1
Direct
0.7500 0.7500 0.7500
0.2500 0.2500 0.2500
0.0000 0.0000 0.0000
0.5000 0.5000 0.5000
```


no.,total moment (μB/cell),energy (eV/cell),calculated density (g/cm³)
1,1.24,-16.748,4.2
2,6.34,-21.416,8.5
3,0.00,-22.870,8.1
4,0.00,-17.981,0.8
5,0.00,-49.626,10.4
6,0.00,-15.652,4.1
7,0.00,-86.436,5.7
8,2.05,-100.830,8.7
9,0.37,-23.906,5.3
10,0.00,-14.106,4.6
11,0.00,-13.371,4.8
12,7.04,-35.362,10.6